# MgTaRh2

An optimized crystal structure of MgTaRh2 (PBE-GGA, the Alexandria database).

The density of states at the Fermi level comes out at 2.19 states/eV per cell. The calculation puts the electronic total energy at -7.618 eV/atom.

a = 3.1497 Å, b = 3.1497 Å, c = 6.4288 Å
α = 90.00°, β = 90.00°, γ = 90.00°
Space group P4/mmm (No. 123)
Inequivalent atoms, fractional coordinates:
Mg 0.0000 0.0000 0.0000
Ta 0.0000 0.0000 0.5000
Rh 0.5000 0.5000 0.2613